Material: LaRe3
Method: DFT, PBE
State: optimized geometry

a b c (Å): 6.6290 6.6290 8.4050
angles (deg): 90.00 90.00 120.00
Closest atoms and distances in Å follow each position.
Atoms (fractional coordinates):
La: 0.0000 0.0000 0.0000  12 Re 3.16-3.31
La: 0.0000 0.0000 0.5000  12 Re 3.16-3.31
La: 0.3333 0.6667 0.2500  6 Re 2.84
La: 0.6667 0.3333 0.7500  6 Re 2.84
Re: 0.0000 0.5000 0.0000  4 Re 2.72, 2 La 2.84
Re: 0.0000 0.5000 0.5000  4 Re 2.72, 2 La 2.84
Re: 0.2053 0.4107 0.7500  6 Re 2.55-2.72
Re: 0.2053 0.7947 0.7500  6 Re 2.55-2.72
Re: 0.4107 0.2053 0.2500  6 Re 2.55-2.72
Re: 0.5000 0.0000 0.0000  4 Re 2.72, 2 La 2.84
Re: 0.5000 0.0000 0.5000  4 Re 2.72, 2 La 2.84
Re: 0.5000 0.5000 0.0000  4 Re 2.72, 2 La 2.84
Re: 0.5000 0.5000 0.5000  4 Re 2.72, 2 La 2.84
Re: 0.5893 0.7947 0.7500  6 Re 2.55-2.72
Re: 0.7947 0.2053 0.2500  6 Re 2.55-2.72
Re: 0.7947 0.5893 0.2500  6 Re 2.55-2.72

Computed properties:
theoretical density: 14.485 g/cm3
SG: P6_3/mmc
raw total energy: -156.771 eV per cell
excess energy over the best structure of this formula in the dataset: 0.392 eV per atom
calculated formation energy: 0.770 eV per atom